VASP calculation (GGA-PBE) on CaPmHgSb after structural relaxation.

The calculation puts the formation energy (no corrections) at -663 meV/atom. Its total energy is -3.4568 eV per atom.

The space group is F-43m (No. 216) and the conventional cell measures 7.652, 7.652 and 7.652 Å, with angles of 90.00, 90.00 and 90.00 degrees. Symmetry generates all atoms from Ca at (0.000, 0.000, 0.000), Pm at (0.000, 0.000, 0.500), Hg at (0.250, 0.250, 0.750) and Sb at (0.250, 0.250, 0.250).